[1]
Below is a relaxed Tl2HPd2 crystal, with properties calculated at the PBE level.

Summary:
Space group   C2/c
Spin magnetization   0.00 μB/atom
Energy above the most stable polymorph in this dataset   0.00 eV/f.u.

abc: 5.518 5.518 6.620
angles: 88.69 88.69 61.45
Atoms (fractional coordinates):
Tl  0.474  0.223  0.157
Tl  0.777  0.526  0.343
Tl  0.526  0.777  0.843
Tl  0.223  0.474  0.657
H  0.144  0.856  0.250
H  0.856  0.144  0.750
Pd  0.743  0.029  0.547
Pd  0.971  0.257  0.953
Pd  0.257  0.971  0.453
Pd  0.029  0.743  0.047

---

[2]
Below is a relaxed Ho6SnSb2Se3 crystal, with properties calculated at the PBE level.

Summary:
Space group   C2/m
ΔE_f (raw)   -1354 meV/atom
Spin magnetization   0.00 μB/atom

abc: 4.235 8.436 9.438
angles: 102.48 102.97 90.00
Atoms (fractional coordinates):
Ho  0.333  0.924  0.666
Ho  0.664  0.588  0.329
Ho  0.667  0.076  0.334
Ho  0.997  0.252  0.995
Ho  0.003  0.748  0.005
Ho  0.336  0.412  0.671
Sn  0.500  0.000  0.000
Sb  0.833  0.666  0.666
Sb  0.167  0.334  0.334
Se  0.500  0.500  0.000
Se  0.832  0.167  0.664
Se  0.168  0.833  0.336

---

[3]
Below is a relaxed MnCd2Rh crystal, with properties calculated at the PBE level.

Summary:
Formation enthalpy at 0 K   50 meV per atom
Space group   Fm-3m
Spin magnetization   0.90 μB/atom
Energy above the most stable polymorph in this dataset   0.29 eV/f.u.

abc: 4.595 4.595 4.595
angles: 60.00 60.00 60.00
Site moments in Bohr magnetons follow the coordinates.
Atoms (fractional coordinates):
Mn  0.000  0.000  0.000  3.69
Rh  0.500  0.500  0.500  0.00
Cd  0.250  0.250  0.250  -0.04
Cd  0.750  0.750  0.750  -0.04

---

[4]
Below is a relaxed AlRuPt2 crystal, with properties calculated at the PBE level.

Summary:
Formation enthalpy at 0 K   -373 meV per atom
Space group   Imm2
Spin magnetization   0.00 μB/atom

abc: 5.359 5.359 5.359
angles: 149.36 130.22 59.59
Atoms (fractional coordinates):
Ru  0.475  0.475  0.000
Al  0.252  0.752  0.500
Pt  0.027  0.027  0.000
Pt  0.746  0.246  0.500

---

[5]
Below is a relaxed RbBe3I crystal, with properties calculated at the PBE level.

Summary:
Space group   Pm-3m
ΔE_f (raw)   1536 meV/atom
Spin magnetization   0.00 μB/atom
Energy above the most stable polymorph in this dataset   0.00 eV/f.u.

abc: 5.292 5.292 5.292
angles: 90.00 90.00 90.00
Atoms (fractional coordinates):
I  0.000  0.000  0.000
Be  0.000  0.500  0.000
Be  0.000  0.000  0.500
Be  0.500  0.000  0.000
Rb  0.500  0.500  0.500

---

[6]
Below is a relaxed BaMg4Pb8 crystal, with properties calculated at the PBE level.

Summary:
Formation enthalpy at 0 K   -143 meV per atom
Space group   I4/mmm
Spin magnetization   0.00 μB/atom

abc: 6.283 8.455 8.455
angles: 82.06 68.19 68.19
Atoms (fractional coordinates):
Ba  0.000  0.000  0.000
Mg  0.000  0.000  0.500
Mg  0.500  0.000  0.500
Mg  0.000  0.500  0.000
Mg  0.500  0.500  0.000
Pb  0.000  0.347  0.653
Pb  0.000  0.653  0.347
Pb  0.347  0.653  0.653
Pb  0.653  0.347  0.347
Pb  0.500  0.784  0.216
Pb  0.500  0.216  0.784
Pb  0.284  0.216  0.216
Pb  0.716  0.784  0.784

---

[7]
Below is a relaxed BeTcMo2 crystal, with properties calculated at the PBE level.

Summary:
Formation enthalpy at 0 K   83 meV per atom
Space group   Cmm2
Spin magnetization   0.00 μB/atom

abc: 2.685 2.685 8.092
angles: 90.00 90.00 107.51
Atoms (fractional coordinates):
Be  0.500  0.500  0.745
Mo  0.000  0.000  0.975
Mo  0.500  0.500  0.254
Tc  0.000  0.000  0.526

---

[8]
Below is a relaxed Cu3GeI crystal, with properties calculated at the PBE level.

Summary:
Space group   Pm-3m
ΔE_f (raw)   1194 meV/atom
Spin magnetization   0.00 μB/atom
Energy above the most stable polymorph in this dataset   3.03 eV/f.u.

abc: 4.929 4.929 4.929
angles: 90.00 90.00 90.00
Atoms (fractional coordinates):
I  0.000  0.000  0.000
Ge  0.500  0.500  0.500
Cu  0.000  0.500  0.000
Cu  0.000  0.000  0.500
Cu  0.500  0.000  0.000

---

[9]
Below is a relaxed BeGaP2 crystal, with properties calculated at the PBE level.

Summary:
Formation enthalpy at 0 K   248 meV per atom
Space group   R-3m
Spin magnetization   0.00 μB/atom
Energy above the most stable polymorph in this dataset   1.69 eV/f.u.

abc: 3.226 3.226 7.413
angles: 77.43 77.43 60.00
Atoms (fractional coordinates):
P  0.111  0.111  0.666
P  0.889  0.889  0.334
Ga  0.000  0.000  0.000
Be  0.500  0.500  0.500

---

[10]
Below is a relaxed PmTh4Pd15 crystal, with properties calculated at the PBE level.

Summary:
Formation enthalpy at 0 K   -918 meV per atom
Space group   P4/mmm
Spin magnetization   0.00 μB/atom

abc: 4.205 4.205 21.122
angles: 90.00 90.00 90.00
Atoms (fractional coordinates):
Pm  0.000  0.000  0.000
Th  0.000  0.000  0.197
Th  0.000  0.000  0.399
Th  0.000  0.000  0.601
Th  0.000  0.000  0.803
Pd  0.500  0.500  0.000
Pd  0.500  0.500  0.201
Pd  0.500  0.500  0.400
Pd  0.500  0.500  0.600
Pd  0.500  0.500  0.799
Pd  0.500  0.000  0.101
Pd  0.500  0.000  0.300
Pd  0.500  0.000  0.500
Pd  0.500  0.000  0.700
Pd  0.500  0.000  0.899
Pd  0.000  0.500  0.101
Pd  0.000  0.500  0.300
Pd  0.000  0.500  0.500
Pd  0.000  0.500  0.700
Pd  0.000  0.500  0.899

---

[11]
Below is a relaxed NiPd2Pt6 crystal, with properties calculated at the PBE level.

Summary:
Formation enthalpy at 0 K   -49 meV per atom
Space group   C2/m
Spin magnetization   0.26 μB/atom
Energy above the most stable polymorph in this dataset   0.00 eV/f.u.

abc: 3.930 4.811 8.335
angles: 73.29 90.00 114.11
Site moments in Bohr magnetons follow the coordinates.
Atoms (fractional coordinates):
Ni  0.000  0.000  0.500  0.81
Pd  0.667  0.333  0.945  0.14
Pd  0.333  0.667  0.055  0.14
Pt  0.005  0.009  0.825  0.20
Pt  0.658  0.316  0.285  0.24
Pt  0.342  0.684  0.715  0.24
Pt  0.672  0.344  0.608  0.21
Pt  0.328  0.656  0.392  0.21
Pt  0.995  0.991  0.175  0.20

---

[12]
Below is a relaxed Ca3TbU3As8 crystal, with properties calculated at the PBE level.

Summary:
Formation enthalpy at 0 K   -876 meV per atom
Space group   R-3m
Spin magnetization   0.20 μB/atom

abc: 8.265 8.264 8.319
angles: 119.79 90.00 120.00
Site moments in Bohr magnetons follow the coordinates.
Atoms (fractional coordinates):
Ca  0.000  0.000  0.000  -0.01
Ca  0.000  0.500  0.000  -0.01
Ca  0.500  0.500  0.000  -0.01
Tb  0.000  0.000  0.500  -0.05
U  0.500  0.000  0.500  1.27
U  0.500  0.500  0.500  1.27
U  0.000  0.500  0.500  1.27
As  0.256  0.512  0.268  -0.05
As  0.744  0.488  0.732  -0.05
As  0.750  0.501  0.273  -0.07
As  0.250  0.499  0.727  -0.07
As  0.750  0.022  0.273  -0.07
As  0.250  0.978  0.727  -0.07
As  0.272  0.022  0.273  -0.07
As  0.728  0.978  0.727  -0.07

---

[13]
Below is a relaxed Dy7TlTe2 crystal, with properties calculated at the PBE level.

Summary:
Space group   Cmmm
ΔE_f (raw)   -87 meV/atom
Spin magnetization   0.00 μB/atom

abc: 5.468 8.605 8.605
angles: 118.18 90.00 90.00
Atoms (fractional coordinates):
Dy  0.000  0.770  0.230
Dy  0.000  0.230  0.770
Dy  0.500  0.064  0.304
Dy  0.500  0.936  0.696
Dy  0.500  0.304  0.064
Dy  0.500  0.696  0.936
Dy  0.500  0.500  0.500
Tl  0.000  0.000  0.000
Te  0.500  0.702  0.298
Te  0.500  0.298  0.702

---

[14]
Below is a relaxed Li17Ac2Hg3 crystal, with properties calculated at the PBE level.

Summary:
Formation enthalpy at 0 K   -52 meV per atom
Space group   R-3m
Spin magnetization   0.00 μB/atom

abc: 8.119 8.119 8.119
angles: 84.18 84.18 84.18
Atoms (fractional coordinates):
Li  0.500  0.000  0.000
Li  0.000  0.000  0.500
Li  0.000  0.500  0.000
Li  0.000  0.741  0.259
Li  0.741  0.259  0.000
Li  0.259  0.000  0.741
Li  0.259  0.741  0.000
Li  0.741  0.000  0.259
Li  0.000  0.259  0.741
Li  0.188  0.668  0.668
Li  0.668  0.668  0.188
Li  0.668  0.188  0.668
Li  0.812  0.332  0.332
Li  0.332  0.332  0.812
Li  0.332  0.812  0.332
Li  0.092  0.092  0.092
Li  0.908  0.908  0.908
Ac  0.326  0.326  0.326
Ac  0.674  0.674  0.674
Hg  0.000  0.500  0.500
Hg  0.500  0.500  0.000
Hg  0.500  0.000  0.500

---

[15]
Below is a relaxed CsNa3Br4 crystal, with properties calculated at the PBE level.

Summary:
Space group   C2
ΔE_f (raw)   -1550 meV/atom
Spin magnetization   0.00 μB/atom

abc: 4.506 7.916 7.917
angles: 70.40 89.88 89.88
Atoms (fractional coordinates):
Cs  0.500  0.500  0.000
Na  0.500  0.000  0.500
Na  0.000  0.000  0.000
Na  0.000  0.501  0.500
Br  0.000  0.787  0.714
Br  0.505  0.766  0.266
Br  0.000  0.213  0.287
Br  0.495  0.234  0.734

---

[16]
Below is a relaxed CaMn2TlBr8 crystal, with properties calculated at the PBE level.

Summary:
Space group   P-3
ΔE_f (raw)   -1001 meV/atom
Spin magnetization   0.75 μB/atom

abc: 7.008 7.008 9.785
angles: 90.00 90.00 120.00
Site moments in Bohr magnetons follow the coordinates.
Atoms (fractional coordinates):
Ca  0.000  0.000  0.500  0.02
Mn  0.667  0.333  0.251  4.00
Mn  0.333  0.667  0.749  4.00
Tl  0.000  0.000  0.000  0.01
Br  0.333  0.667  0.992  0.01
Br  0.326  0.329  0.316  0.03
Br  0.671  0.997  0.316  0.03
Br  0.667  0.333  0.008  0.01
Br  0.329  0.003  0.684  0.03
Br  0.674  0.671  0.684  0.03
Br  0.997  0.326  0.684  0.03
Br  0.003  0.674  0.316  0.03

---

[17]
Below is a relaxed CaLa2In crystal, with properties calculated at the PBE level.

Summary:
Formation enthalpy at 0 K   -103 meV per atom
Space group   R3m
Spin magnetization   0.00 μB/atom
Energy above the most stable polymorph in this dataset   0.58 eV/f.u.

abc: 5.672 5.672 5.707
angles: 60.21 60.21 60.00
Atoms (fractional coordinates):
Ca  0.501  0.501  0.498
La  0.014  0.014  0.958
La  0.222  0.222  0.335
In  0.763  0.763  0.710

---

[18]
Below is a relaxed NiGeRu crystal, with properties calculated at the PBE level.

Summary:
Formation enthalpy at 0 K   -36 meV per atom
Space group   F-43m
Spin magnetization   0.00 μB/atom

abc: 3.978 3.978 3.978
angles: 60.00 60.00 60.00
Atoms (fractional coordinates):
Ru  0.500  0.500  0.500
Ge  0.250  0.250  0.250
Ni  0.000  0.000  0.000

---

[19]
Below is a relaxed PrAuSe2 crystal, with properties calculated at the PBE level.

Summary:
Space group   Pbcm
ΔE_f (raw)   -1194 meV/atom
Spin magnetization   0.00 μB/atom
Energy above the most stable polymorph in this dataset   0.00 eV/f.u.

abc: 6.455 8.210 7.531
angles: 90.00 90.00 90.00
Atoms (fractional coordinates):
Pr  0.830  0.250  0.963
Pr  0.170  0.250  0.463
Pr  0.170  0.750  0.037
Pr  0.830  0.750  0.537
Au  0.499  0.000  0.750
Au  0.501  0.000  0.250
Au  0.501  0.500  0.250
Au  0.499  0.500  0.750
Se  0.076  0.000  0.750
Se  0.924  0.500  0.250
Se  0.924  0.000  0.250
Se  0.076  0.500  0.750
Se  0.373  0.250  0.086
Se  0.373  0.750  0.414
Se  0.627  0.750  0.914
Se  0.627  0.250  0.586

---

[20]
Below is a relaxed BaPuSb crystal, with properties calculated at the PBE level.

Summary:
Space group   P4/nmm
ΔE_f (raw)   -36 meV/atom
Spin magnetization   0.01 μB/atom

abc: 3.786 3.786 13.196
angles: 90.00 90.00 90.00
Atoms (fractional coordinates):
Ba  0.000  0.500  0.840
Ba  0.500  0.000  0.160
Sb  0.000  0.500  0.317
Sb  0.500  0.000  0.683
Pu  0.500  0.500  0.500
Pu  0.000  0.000  0.500